Entry 1:
Entry from Alexandria: crystalline MnZn2Co at its relaxed geometry (GGA-PBE).

Calculated values
Distance to the lowest polymorph of the same formula ... 52 meV per atom
Theoretical density ... 7.88 g/cm³
ΔH_f (0 K) ... 0.009 eV per atom
Spin magnetization ... 4.3 μB/cell

a = 3.6912 Å, b = 2.6487 Å, c = 5.9091 Å
α = 63.14°, β = 90.00°, γ = 90.00°
Closest atoms and distances in Å follow each position.
Element x y z (fractional)
Zn1 0.0000 0.9912 0.0086  4 Zn 2.54-2.73, 4 Co 2.60-2.61, 4 Mn 2.65
Zn2 0.0000 0.5088 0.4914  4 Zn 2.54-2.73, 4 Co 2.60-2.61, 4 Mn 2.65
Mn1 0.5000 0.7500 0.7500  2 Co 2.64, 8 Zn 2.65, 2 Mn 2.65
Co1 0.5000 0.2500 0.2500  8 Zn 2.60-2.61, 2 Mn 2.64, 2 Co 2.65

=====

Entry 2:
Entry from Alexandria: crystalline Fe2CuMo at its relaxed geometry (GGA-PBE).

Calculated values
Distance to the lowest polymorph of the same formula ... 124 meV per atom
Theoretical density ... 8.63 g/cm³
ΔH_f (0 K) ... 0.273 eV per atom
Spin magnetization ... 4.3 μB/cell

a = 8.9798 Å, b = 8.9798 Å, c = 8.9798 Å
α = 16.70°, β = 16.70°, γ = 16.70°
Closest atoms and distances in Å follow each position.
Element x y z (fractional)
Cu1 0.7500 0.7500 0.7500  6 Fe 2.59, 6 Cu 2.61
Fe1 0.0038 0.0038 0.0038  3 Cu 2.59, 6 Fe 2.61, 3 Mo 2.76
Fe2 0.4962 0.4962 0.4962  3 Cu 2.59, 6 Fe 2.61, 3 Mo 2.76
Mo1 0.2500 0.2500 0.2500  6 Mo 2.61, 6 Fe 2.76

=====

Entry 3:
Entry from Alexandria: crystalline Cs2NaPmCl6 at its relaxed geometry (GGA-PBE).

Calculated values
ΔE_f (raw) ... -205.30 kJ per mole of atoms
Theoretical density ... 3.20 g/cm³
Spin magnetization ... 0.0 μB/cell

a = 7.8017 Å, b = 7.8035 Å, c = 11.0338 Å
α = 90.00°, β = 90.00°, γ = 90.00°
Closest atoms and distances in Å follow each position.
Element x y z (fractional)
Cs1 0.5000 0.7498 0.2499  12 Cl 3.90-3.91
Cs2 0.0000 0.2502 0.7499  12 Cl 3.90-3.91
Cs3 0.5000 0.7498 0.7501  12 Cl 3.90-3.91
Cs4 0.0000 0.2502 0.2501  12 Cl 3.90-3.91
Na1 0.0000 0.7494 0.5000  6 Cl 2.80
Na2 0.5000 0.2506 0.0000  6 Cl 2.80
Pm1 0.5000 0.2493 0.5000  6 Cl 2.72
Pm2 0.0000 0.7507 0.0000  6 Cl 2.72
Cl1 0.5000 0.2496 0.2539  1 Pm 2.72, 1 Na 2.80
Cl2 0.5000 0.2496 0.7461  1 Pm 2.72, 1 Na 2.80
Cl3 0.0000 0.7504 0.2461  1 Pm 2.72, 1 Na 2.80
Cl4 0.0000 0.7504 0.7539  1 Pm 2.72, 1 Na 2.80
Cl5 0.2539 0.0033 0.5000  1 Pm 2.72, 1 Na 2.80
Cl6 0.7461 0.0033 0.5000  1 Pm 2.72, 1 Na 2.80
Cl7 0.2536 0.4953 0.5000  1 Pm 2.72, 1 Na 2.80
Cl8 0.7464 0.4953 0.5000  1 Pm 2.72, 1 Na 2.80
Cl9 0.7536 0.5047 0.0000  1 Pm 2.72, 1 Na 2.80
Cl10 0.2464 0.5047 0.0000  1 Pm 2.72, 1 Na 2.80
Cl11 0.2461 0.9967 0.0000  1 Pm 2.72, 1 Na 2.80
Cl12 0.7539 0.9967 0.0000  1 Pm 2.72, 1 Na 2.80

=====

Entry 4:
Entry from Alexandria: crystalline SiRh5 at its relaxed geometry (GGA-PBE).

Calculated values
ΔE_f (raw) ... -16.79 kJ per mole of atoms
Distance to the lowest polymorph of the same formula ... 95 meV per atom
Theoretical density ... 10.80 g/cm³
Spin magnetization ... 0.0 μB/cell

a = 6.9842 Å, b = 6.9842 Å, c = 4.3981 Å
α = 90.00°, β = 90.00°, γ = 157.11°
Closest atoms and distances in Å follow each position.
Element x y z (fractional)
Si1 0.1139 0.8861 0.5000  10 Rh 2.55-2.71, 2 Si 2.77
Rh1 0.9984 0.0016 0.0000  10 Rh 2.64-2.77, 2 Si 2.71
Rh2 0.3316 0.6684 0.0000  12 Rh 2.67-2.79
Rh3 0.6624 0.3376 0.0000  8 Rh 2.64-2.77, 4 Si 2.68
Rh4 0.4569 0.5431 0.5000  2 Si 2.56, 8 Rh 2.66-2.79
Rh5 0.7702 0.2298 0.5000  2 Si 2.55, 8 Rh 2.65-2.77

=====

Look up the theoretical density of the fourth one.
10.80 g/cm³